1.
Entry from Alexandria via LeMat-Bulk: ReMoSe2 at its PBEsol-relaxed geometry (meta-GGA SCAN).

The structure in CIF format:
```
data_ReMoSe2
_chemical_formula_sum 'Re1 Mo1 Se2'
_cell_length_a 3.088
_cell_length_b 3.088
_cell_length_c 8.056
_cell_angle_alpha 90.00
_cell_angle_beta 90.00
_cell_angle_gamma 121.46
_symmetry_space_group_name_H-M 'P 1'
_symmetry_Int_Tables_number 1
_symmetry_space_group_name_Hall 'P 1'
loop_
_atom_site_label
_atom_site_type_symbol
_atom_site_fract_x
_atom_site_fract_y
_atom_site_fract_z
Re1 Re 0.000 0.000 0.000
Mo1 Mo 0.000 0.000 0.500
Se1 Se 0.500 0.500 0.249
Se2 Se 0.500 0.500 0.751
```

For the density of states at the Fermi level, the calculation gives 3.8 states/eV/f.u. The calculation puts the total energy at -35.585 eV/atom.

=====

2.
Entry from Alexandria via LeMat-Bulk: K2Au at its PBEsol-relaxed geometry (meta-GGA SCAN).

The structure in CIF format:
```
data_K2Au
_chemical_formula_sum 'K2 Au1'
_cell_length_a 4.542
_cell_length_b 4.542
_cell_length_c 7.861
_cell_angle_alpha 90.00
_cell_angle_beta 90.00
_cell_angle_gamma 120.00
_symmetry_space_group_name_H-M 'P 1'
_symmetry_Int_Tables_number 1
_symmetry_space_group_name_Hall 'P 1'
loop_
_atom_site_label
_atom_site_type_symbol
_atom_site_fract_x
_atom_site_fract_y
_atom_site_fract_z
K1 K 0.333 0.667 0.242
K2 K 0.667 0.333 0.758
Au1 Au 0.000 0.000 0.000
```

For the density of states at the Fermi level, the calculation gives 2.0 states/eV/f.u. The value obtained for the formation enthalpy at 0 K is -22 kJ/mol of atoms.

=====

3.
Entry from Alexandria via LeMat-Bulk: Al3TeAu at its PBEsol-relaxed geometry (meta-GGA SCAN).

The structure in CIF format:
```
data_Al3TeAu
_chemical_formula_sum 'Al3 Te1 Au1'
_cell_length_a 4.870
_cell_length_b 4.870
_cell_length_c 4.870
_cell_angle_alpha 90.00
_cell_angle_beta 90.00
_cell_angle_gamma 90.00
_symmetry_space_group_name_H-M 'P 1'
_symmetry_Int_Tables_number 1
_symmetry_space_group_name_Hall 'P 1'
loop_
_atom_site_label
_atom_site_type_symbol
_atom_site_fract_x
_atom_site_fract_y
_atom_site_fract_z
Al1 Al 0.000 0.000 0.500
Al2 Al 0.000 0.500 0.000
Al3 Al 0.500 0.000 0.000
Te1 Te 0.500 0.500 0.500
Au1 Au 0.000 0.000 0.000
```

For the density of states at the Fermi level, the calculation gives 0.5 states/eV/f.u. The calculation puts the total energy at -26.051 eV/atom.

=====

4.
Entry from Alexandria via LeMat-Bulk: MnIn2Ru at its PBEsol-relaxed geometry (meta-GGA SCAN).

The structure in CIF format:
```
data_MnIn2Ru
_chemical_formula_sum 'Mn1 In2 Ru1'
_cell_length_a 5.416
_cell_length_b 5.416
_cell_length_c 5.416
_cell_angle_alpha 145.32
_cell_angle_beta 131.31
_cell_angle_gamma 61.15
_symmetry_space_group_name_H-M 'P 1'
_symmetry_Int_Tables_number 1
_symmetry_space_group_name_Hall 'P 1'
loop_
_atom_site_label
_atom_site_type_symbol
_atom_site_fract_x
_atom_site_fract_y
_atom_site_fract_z
Mn1 Mn 0.000 0.000 0.000
In1 In 0.466 0.466 0.000
In2 In 0.743 0.243 0.500
Ru1 Ru 0.215 0.715 0.500
```

For the density of states at the Fermi level, the calculation gives 1.7 states/eV/f.u. The value obtained for the formation enthalpy at 0 K is -1 kJ/mol of atoms.

=====

5.
Entry from Alexandria via LeMat-Bulk: ScInAg4 at its PBEsol-relaxed geometry (meta-GGA SCAN).

The structure in CIF format:
```
data_ScInAg4
_chemical_formula_sum 'Sc1 In1 Ag4'
_cell_length_a 5.396
_cell_length_b 5.396
_cell_length_c 5.396
_cell_angle_alpha 60.00
_cell_angle_beta 60.00
_cell_angle_gamma 60.00
_symmetry_space_group_name_H-M 'P 1'
_symmetry_Int_Tables_number 1
_symmetry_space_group_name_Hall 'P 1'
loop_
_atom_site_label
_atom_site_type_symbol
_atom_site_fract_x
_atom_site_fract_y
_atom_site_fract_z
Sc1 Sc 0.000 0.000 0.000
In1 In 0.750 0.750 0.750
Ag1 Ag 0.375 0.375 0.375
Ag2 Ag 0.375 0.375 0.876
Ag3 Ag 0.375 0.876 0.375
Ag4 Ag 0.876 0.375 0.375
```

For the density of states at the Fermi level, the calculation gives 1.2 states/eV/f.u. The value obtained for the formation enthalpy at 0 K is -15 kJ/mol of atoms.

=====

6.
Entry from Alexandria via LeMat-Bulk: BaSb2TeP at its PBEsol-relaxed geometry (meta-GGA SCAN).

The structure in CIF format:
```
data_BaSb2TeP
_chemical_formula_sum 'Ba1 Sb2 Te1 P1'
_cell_length_a 5.315
_cell_length_b 5.315
_cell_length_c 5.343
_cell_angle_alpha 90.00
_cell_angle_beta 90.00
_cell_angle_gamma 90.00
_symmetry_space_group_name_H-M 'P 1'
_symmetry_Int_Tables_number 1
_symmetry_space_group_name_Hall 'P 1'
loop_
_atom_site_label
_atom_site_type_symbol
_atom_site_fract_x
_atom_site_fract_y
_atom_site_fract_z
Ba1 Ba 0.000 0.000 0.000
Sb1 Sb 0.000 0.500 0.500
Sb2 Sb 0.500 0.000 0.500
Te1 Te 0.500 0.500 0.000
P1 P 0.500 0.500 0.500
```

For the density of states at the Fermi level, the calculation gives 4.1 states/eV/f.u. The calculation puts the total energy at -32.556 eV/atom.

=====

7.
Entry from Alexandria via LeMat-Bulk: Al2FeNi at its PBEsol-relaxed geometry (meta-GGA SCAN).

The structure in CIF format:
```
data_Al2FeNi
_chemical_formula_sum 'Al2 Fe1 Ni1'
_cell_length_a 4.020
_cell_length_b 4.020
_cell_length_c 4.020
_cell_angle_alpha 60.00
_cell_angle_beta 60.00
_cell_angle_gamma 60.00
_symmetry_space_group_name_H-M 'P 1'
_symmetry_Int_Tables_number 1
_symmetry_space_group_name_Hall 'P 1'
loop_
_atom_site_label
_atom_site_type_symbol
_atom_site_fract_x
_atom_site_fract_y
_atom_site_fract_z
Al1 Al 0.250 0.250 0.250
Al2 Al 0.750 0.750 0.750
Fe1 Fe 0.000 0.000 0.000
Ni1 Ni 0.500 0.500 0.500
```

For the density of states at the Fermi level, the calculation gives 1.7 states/eV/f.u. The value obtained for the formation enthalpy at 0 K is -56 kJ/mol of atoms.

=====

8.
Entry from Alexandria via LeMat-Bulk: MgCoAg at its PBEsol-relaxed geometry (meta-GGA SCAN).

The structure in CIF format:
```
data_MgCoAg
_chemical_formula_sum 'Mg1 Co1 Ag1'
_cell_length_a 4.372
_cell_length_b 4.372
_cell_length_c 2.706
_cell_angle_alpha 90.00
_cell_angle_beta 90.00
_cell_angle_gamma 120.00
_symmetry_space_group_name_H-M 'P 1'
_symmetry_Int_Tables_number 1
_symmetry_space_group_name_Hall 'P 1'
loop_
_atom_site_label
_atom_site_type_symbol
_atom_site_fract_x
_atom_site_fract_y
_atom_site_fract_z
Mg1 Mg 0.000 0.000 0.000
Co1 Co 0.333 0.667 0.668
Ag1 Ag 0.667 0.333 0.374
```

For the density of states at the Fermi level, the calculation gives 1.2 states/eV/f.u. The value obtained for the formation enthalpy at 0 K is 10 kJ/mol of atoms.

=====

9.
Entry from Alexandria via LeMat-Bulk: Li2LaScSi at its PBEsol-relaxed geometry (meta-GGA SCAN).

The structure in CIF format:
```
data_Li2LaScSi
_chemical_formula_sum 'Li2 La1 Sc1 Si1'
_cell_length_a 4.866
_cell_length_b 4.866
_cell_length_c 5.411
_cell_angle_alpha 90.00
_cell_angle_beta 90.00
_cell_angle_gamma 90.00
_symmetry_space_group_name_H-M 'P 1'
_symmetry_Int_Tables_number 1
_symmetry_space_group_name_Hall 'P 1'
loop_
_atom_site_label
_atom_site_type_symbol
_atom_site_fract_x
_atom_site_fract_y
_atom_site_fract_z
Li1 Li 0.000 0.500 0.000
Li2 Li 0.500 0.000 0.000
La1 La 0.000 0.000 0.500
Sc1 Sc 0.000 0.000 0.000
Si1 Si 0.500 0.500 0.500
```

For the density of states at the Fermi level, the calculation gives 4.4 states/eV/f.u. The calculation puts the total energy at -13.430 eV/atom.

=====

10.
Entry from Alexandria via LeMat-Bulk: Rb2Hg3Ge2S8 at its PBEsol-relaxed geometry (meta-GGA SCAN).

The structure in CIF format:
```
data_Rb2Hg3Ge2S8
_chemical_formula_sum 'Rb4 Hg6 Ge4 S16'
_cell_length_a 9.917
_cell_length_b 6.405
_cell_length_c 13.168
_cell_angle_alpha 90.00
_cell_angle_beta 96.43
_cell_angle_gamma 90.00
_symmetry_space_group_name_H-M 'P 1'
_symmetry_Int_Tables_number 1
_symmetry_space_group_name_Hall 'P 1'
loop_
_atom_site_label
_atom_site_type_symbol
_atom_site_fract_x
_atom_site_fract_y
_atom_site_fract_z
Rb1 Rb 0.228 0.154 0.319
Rb2 Rb 0.228 0.346 0.819
Rb3 Rb 0.772 0.654 0.181
Rb4 Rb 0.772 0.846 0.681
Hg1 Hg 0.000 0.000 0.000
Hg2 Hg 0.000 0.500 0.500
Hg3 Hg 0.496 0.211 0.113
Hg4 Hg 0.496 0.289 0.613
Hg5 Hg 0.504 0.711 0.387
Hg6 Hg 0.504 0.789 0.887
Ge1 Ge 0.282 0.695 0.083
Ge2 Ge 0.282 0.805 0.583
Ge3 Ge 0.718 0.195 0.417
Ge4 Ge 0.718 0.305 0.917
S1 S 0.087 0.700 0.642
S2 S 0.087 0.800 0.142
S3 S 0.266 0.152 0.584
S4 S 0.266 0.348 0.084
S5 S 0.269 0.681 0.424
S6 S 0.269 0.819 0.924
S7 S 0.459 0.681 0.678
S8 S 0.459 0.819 0.178
S9 S 0.541 0.181 0.822
S10 S 0.541 0.319 0.322
S11 S 0.731 0.181 0.076
S12 S 0.731 0.319 0.576
S13 S 0.734 0.652 0.916
S14 S 0.734 0.848 0.416
S15 S 0.913 0.200 0.858
S16 S 0.913 0.300 0.358
```

For the density of states at the Fermi level, the calculation gives 0.0 states/eV/f.u. The calculation puts the total energy at -24.699 eV/atom.

=====

11.
Entry from Alexandria via LeMat-Bulk: TaW at its PBEsol-relaxed geometry (meta-GGA SCAN).

The structure in CIF format:
```
data_TaW
_chemical_formula_sum 'Ta2 W2'
_cell_length_a 5.347
_cell_length_b 5.347
_cell_length_c 5.347
_cell_angle_alpha 145.23
_cell_angle_beta 130.05
_cell_angle_gamma 62.30
_symmetry_space_group_name_H-M 'P 1'
_symmetry_Int_Tables_number 1
_symmetry_space_group_name_Hall 'P 1'
loop_
_atom_site_label
_atom_site_type_symbol
_atom_site_fract_x
_atom_site_fract_y
_atom_site_fract_z
Ta1 Ta 0.371 0.121 0.250
Ta2 Ta 0.629 0.879 0.750
W1 W 0.120 0.370 0.750
W2 W 0.880 0.630 0.250
```

For the density of states at the Fermi level, the calculation gives 1.3 states/eV/f.u. The value obtained for the formation enthalpy at 0 K is -11 kJ/mol of atoms.

=====

12.
Entry from Alexandria via LeMat-Bulk: Hg2C at its PBEsol-relaxed geometry (meta-GGA SCAN).

The structure in CIF format:
```
data_Hg2C
_chemical_formula_sum 'Hg2 C1'
_cell_length_a 4.679
_cell_length_b 4.679
_cell_length_c 2.897
_cell_angle_alpha 90.00
_cell_angle_beta 90.00
_cell_angle_gamma 120.00
_symmetry_space_group_name_H-M 'P 1'
_symmetry_Int_Tables_number 1
_symmetry_space_group_name_Hall 'P 1'
loop_
_atom_site_label
_atom_site_type_symbol
_atom_site_fract_x
_atom_site_fract_y
_atom_site_fract_z
Hg1 Hg 0.333 0.667 0.000
Hg2 Hg 0.667 0.333 0.000
C1 C 0.000 0.000 0.500
```

For the density of states at the Fermi level, the calculation gives 1.3 states/eV/f.u. The value obtained for the formation enthalpy at 0 K is 208 kJ/mol of atoms.